TePN2F | PBE-GGA | relaxed

Output
E_form (uncorrected) = 488 meV/atom
E_tot = -24.64 eV/cell
Magnetic moment = 0.511 μB per cell
ρ = 5.02 g/cm3

Geometry as CIF:
```
data_TePN2F
_cell_length_a 3.3944
_cell_length_b 3.3944
_cell_length_c 5.9027
_cell_angle_alpha 90.00
_cell_angle_beta 90.00
_cell_angle_gamma 90.00
_symmetry_space_group_name_H-M 'P 4/m m m'
_symmetry_Int_Tables_number 123
_symmetry_space_group_name_Hall '-P 4 2'
loop_
_atom_site_label
_atom_site_type_symbol
_atom_site_fract_x
_atom_site_fract_y
_atom_site_fract_z
Te1 Te 0.0000 0.0000 0.0000
P1 P 0.0000 0.0000 0.5000
N1 N 0.0000 0.5000 0.5000
F1 F 0.5000 0.5000 0.0000
```